Record 1
## Rb5Ga2Au4 (PBE-GGA)

Data for Rb5Ga2Au4 after structural relaxation.

abc: 5.056 9.263 9.276
angles: 93.08 105.82 90.00
Fractional coordinates of all 11 atoms:
1 Au 0.008 0.722 0.017
2 Au 0.658 0.755 0.317
3 Au 0.992 0.278 0.983
4 Au 0.342 0.245 0.683
5 Ga 0.483 0.358 0.967
6 Ga 0.517 0.642 0.033
7 Rb 0.160 0.014 0.320
8 Rb 0.152 0.487 0.304
9 Rb 0.500 0.000 0.000
10 Rb 0.840 0.986 0.680
11 Rb 0.848 0.513 0.696

electronic total energy: -2.382 eV per atom
energy of formation from the pure elements: -0.20 eV/atom
SG: C2/m



Record 2
## ZnHgBr2 (PBE-GGA)

Data for ZnHgBr2 after structural relaxation.

abc: 9.071 9.071 9.071
angles: 24.27 24.27 24.27
Fractional coordinates of all 4 atoms:
1 Zn 0.753 0.753 0.753
2 Br 0.031 0.031 0.031
3 Br 0.226 0.226 0.226
4 Hg 0.489 0.489 0.489

electronic total energy: -1.622 eV per atom
formation energy without anion corrections: -38 kJ/mol of atoms
SG: R3m



Record 3
## Ca2HPdAu (PBE-GGA)

Data for Ca2HPdAu after structural relaxation.

abc: 5.033 5.033 3.772
angles: 90.00 90.00 90.00
Fractional coordinates of all 5 atoms:
1 Ca 0.000 0.500 0.000
2 Ca 0.500 0.000 0.000
3 Au 0.000 0.000 0.500
4 H 0.000 0.000 0.000
5 Pd 0.500 0.500 0.500

electronic total energy: -3.746 eV per atom
SG: P4/mmm



Record 4
## CaTb2HoAu4 (PBE-GGA)

Data for CaTb2HoAu4 after structural relaxation.

abc: 5.090 5.090 8.877
angles: 73.34 73.34 60.00
Fractional coordinates of all 8 atoms:
1 Ca 0.000 0.000 0.000
2 Tb 0.748 0.748 0.755
3 Tb 0.252 0.252 0.245
4 Au 0.379 0.379 0.862
5 Au 0.130 0.130 0.609
6 Au 0.870 0.870 0.391
7 Au 0.621 0.621 0.138
8 Ho 0.500 0.500 0.500

electronic total energy: -4.466 eV per atom
energy of formation from the pure elements: -0.85 eV/atom
SG: R-3m



Record 5
## Si2PPd (PBE-GGA)

Data for Si2PPd after structural relaxation.

abc: 5.576 5.576 6.350
angles: 63.96 63.96 90.00
Fractional coordinates of all 8 atoms:
1 Pd 0.000 0.000 0.000
2 Pd 0.750 0.250 0.500
3 Si 0.131 0.625 0.250
4 Si 0.619 0.125 0.250
5 Si 0.875 0.869 0.750
6 Si 0.375 0.381 0.750
7 P 0.500 0.500 0.000
8 P 0.250 0.750 0.500

electronic total energy: -5.449 eV per atom
formation energy without anion corrections: -8 kJ/mol of atoms
SG: I-42d



Record 6
## LiEuAg2 (PBE-GGA)

Data for LiEuAg2 after structural relaxation.

abc: 5.109 5.109 5.109
angles: 60.00 60.00 60.00
Fractional coordinates of all 4 atoms:
1 Li 0.000 0.000 0.000
2 Ag 0.250 0.250 0.250
3 Ag 0.750 0.750 0.750
4 Eu 0.500 0.500 0.500

electronic total energy: -4.636 eV per atom
energy of formation from the pure elements: -0.16 eV/atom
SG: Fm-3m



Record 7
## Cs8Rb2HgAu (PBE-GGA)

Data for Cs8Rb2HgAu after structural relaxation.

abc: 11.836 9.103 10.732
angles: 72.31 103.06 82.83
Fractional coordinates of all 12 atoms:
1 Cs 0.102 0.702 0.339
2 Cs 0.711 0.903 0.951
3 Cs 0.306 0.111 0.549
4 Cs 0.694 0.889 0.451
5 Cs 0.898 0.298 0.661
6 Cs 0.895 0.294 0.136
7 Cs 0.289 0.097 0.049
8 Cs 0.105 0.706 0.864
9 Rb 0.511 0.490 0.249
10 Rb 0.489 0.510 0.751
11 Hg 0.000 0.000 0.500
12 Au 0.000 0.000 0.000

electronic total energy: -1.123 eV per atom
energy of formation from the pure elements: -0.09 eV/atom
SG: P-1



Record 8
## ZnHg2F8 (PBE-GGA)

Data for ZnHg2F8 after structural relaxation.

abc: 5.071 5.810 5.810
angles: 73.13 78.59 78.59
Fractional coordinates of all 11 atoms:
1 Zn 0.000 0.000 0.000
2 F 0.241 0.049 0.668
3 F 0.264 0.125 0.125
4 F 0.759 0.332 0.951
5 F 0.759 0.951 0.332
6 F 0.241 0.668 0.049
7 F 0.763 0.424 0.424
8 F 0.736 0.875 0.875
9 F 0.237 0.576 0.576
10 Hg 0.289 0.345 0.345
11 Hg 0.711 0.655 0.655

electronic total energy: -2.935 eV per atom
formation energy without anion corrections: -135 kJ/mol of atoms
SG: C2/m



Number 1: size of the total moment 0.0 μB/cell. Number 2: size of the total moment 0.0 μB/cell. Number 3: size of the total moment 0.0 μB/cell. Number 4: size of the total moment 0.0 μB/cell. Number 5: size of the total moment 0.0 μB/cell. Number 6: size of the total moment 7.2 μB/cell. Number 7: size of the total moment 0.0 μB/cell. Number 8: size of the total moment 0.0 μB/cell.